(1)
First-principles (GGA-PBE) data for a relaxed Rb3P2Pt crystal, as listed in Alexandria.

Output
The density of states at the Fermi level is 2.83 states/eV/cell. The calculation puts the uncorrected energy at -3.71 eV per atom. The space-group type is C2/c. The calculation puts the formation energy at -414 meV per atom.

a b c (Å): 7.2316 7.2316 7.4978
angles (deg): 91.91 91.91 89.28
Closest atoms and distances in Å follow each position.
Fractional coordinates of all 12 atoms:
Rb (0.1117, 0.8883, 0.7500)  2 P 3.47, 1 Pt 3.53, 2 Rb 3.88
Rb (0.2647, 0.3898, 0.5210)  4 P 3.36-3.51, 1 Pt 3.44
Rb (0.3898, 0.2647, 0.0210)  4 P 3.36-3.51, 1 Pt 3.44
Rb (0.6102, 0.7353, 0.9790)  4 P 3.36-3.51, 1 Pt 3.44
Rb (0.7353, 0.6102, 0.4790)  4 P 3.36-3.51, 1 Pt 3.44
Rb (0.8883, 0.1117, 0.2500)  2 P 3.47, 1 Pt 3.53, 2 Rb 3.88
P (0.0258, 0.5502, 0.1400)  1 P 2.22, 1 Pt 2.30
P (0.4498, 0.9742, 0.3600)  1 P 2.22, 1 Pt 2.30
P (0.5502, 0.0258, 0.6400)  1 P 2.22, 1 Pt 2.30
P (0.9742, 0.4498, 0.8600)  1 P 2.22, 1 Pt 2.30
Pt (0.2357, 0.7643, 0.2500)  2 P 2.30
Pt (0.7643, 0.2357, 0.7500)  2 P 2.30


(2)
First-principles (GGA-PBE) data for a relaxed Rb3P2Pt2 crystal, as listed in Alexandria.

Output
The density of states at the Fermi level is 3.82 states/eV/cell. The calculation puts the uncorrected energy at -4.17 eV per atom. The space-group type is Cmcm. The calculation puts the formation energy at -489 meV per atom.

a b c (Å): 5.9211 5.9211 17.5160
angles (deg): 90.00 90.00 119.99
Closest atoms and distances in Å follow each position.
Fractional coordinates of all 14 atoms:
Rb (0.1643, 0.8357, 0.7500)  3 Pt 3.42
Rb (0.1680, 0.8320, 0.0809)  3 P 3.50-3.51, 3 Pt 3.69-3.71
Rb (0.1680, 0.8320, 0.4191)  3 P 3.50-3.51, 3 Pt 3.69-3.71
Rb (0.8320, 0.1680, 0.5809)  3 P 3.50-3.51, 3 Pt 3.69-3.71
Rb (0.8320, 0.1680, 0.9191)  3 P 3.50-3.51, 3 Pt 3.69-3.71
Rb (0.8357, 0.1643, 0.2500)  3 Pt 3.42
P (0.4982, 0.5018, 0.6251)  2 Pt 2.19
P (0.4982, 0.5018, 0.8749)  2 Pt 2.19
P (0.5018, 0.4982, 0.1251)  2 Pt 2.19
P (0.5018, 0.4982, 0.3749)  2 Pt 2.19
Pt (0.4976, 0.5024, 0.7500)  2 P 2.19
Pt (0.5000, 0.5000, 0.0000)  2 P 2.19
Pt (0.5000, 0.5000, 0.5000)  2 P 2.19
Pt (0.5024, 0.4976, 0.2500)  2 P 2.19